(1)
## BaY3Ir (GGA-PBE)

Data for BaY3Ir after structural relaxation.

crystal system: triclinic
energy relative to the lowest polymorph listed for this composition: 0.0281 eV/atom
ΔE_f: -0.33 eV per atom

Unit cell a=3.881 b=10.571 c=8.238 alpha=91.98 beta=90.00 gamma=100.56
Fractional positions:
Ba (0.814, 0.496, 0.628)
Ba (0.747, 0.361, 0.213)
Y (0.178, 0.226, 0.837)
Y (0.382, 0.631, 0.003)
Y (0.566, 0.001, 0.076)
Y (0.994, 0.856, 0.764)
Y (0.104, 0.077, 0.455)
Y (0.456, 0.780, 0.386)
Ir (0.970, 0.807, 0.122)
Ir (0.591, 0.051, 0.718)

=====

(2)
## BaY3Ir (GGA-PBE)

Data for BaY3Ir after structural relaxation.

crystal system: trigonal
energy relative to the lowest polymorph listed for this composition: 0.4769 eV/atom
ΔE_f: 0.12 eV per atom

Unit cell a=5.503 b=5.503 c=5.503 alpha=81.57 beta=81.57 gamma=81.57
Fractional positions:
Y (0.169, 0.654, 0.654)
Y (0.654, 0.654, 0.169)
Y (0.654, 0.169, 0.654)
Ir (0.330, 0.330, 0.330)
Ba (0.067, 0.067, 0.067)

=====

(3)
## BaYIr4 (GGA-PBE)

Data for BaYIr4 after structural relaxation.

crystal system: cubic
ΔE_f: -0.33 eV per atom

Unit cell a=5.488 b=5.488 c=5.488 alpha=60.00 beta=60.00 gamma=60.00
Fractional positions:
Ir (0.375, 0.375, 0.375)
Ir (0.375, 0.375, 0.874)
Ir (0.375, 0.874, 0.375)
Ir (0.874, 0.375, 0.375)
Y (0.750, 0.750, 0.750)
Ba (0.000, 0.000, 0.000)

=====

(4)
## BaY2Ir (GGA-PBE)

Data for BaY2Ir after structural relaxation.

crystal system: tetragonal
energy relative to the lowest polymorph listed for this composition: 0.1934 eV/atom
ΔE_f: -0.19 eV per atom

Unit cell a=3.942 b=3.942 c=8.608 alpha=90.00 beta=90.00 gamma=90.00
Fractional positions:
Ir (0.500, 0.500, 0.859)
Y (0.000, 0.000, 0.929)
Y (0.500, 0.500, 0.179)
Ba (0.000, 0.000, 0.533)

=====

(5)
## BaY3Ir (GGA-PBE)

Data for BaY3Ir after structural relaxation.

crystal system: monoclinic
energy relative to the lowest polymorph listed for this composition: 0.1596 eV/atom
ΔE_f: -0.20 eV per atom

Unit cell a=13.621 b=9.429 c=9.429 alpha=83.95 beta=124.07 gamma=55.93
Fractional positions:
Y (0.325, 0.129, 0.042)
Y (0.953, 0.226, 0.914)
Y (0.472, 0.218, 0.439)
Y (0.972, 0.061, 0.282)
Y (0.453, 0.586, 0.274)
Y (0.528, 0.782, 0.561)
Y (0.547, 0.414, 0.726)
Y (0.825, 0.458, 0.371)
Y (0.028, 0.939, 0.718)
Y (0.175, 0.542, 0.629)
Y (0.675, 0.871, 0.958)
Y (0.047, 0.774, 0.086)
Ba (0.368, 0.830, 0.808)
Ba (0.132, 0.308, 0.330)
Ba (0.632, 0.170, 0.192)
Ba (0.868, 0.692, 0.670)
Ir (0.750, 0.170, 0.670)
Ir (0.250, 0.499, 0.999)
Ir (0.750, 0.501, 0.001)
Ir (0.250, 0.830, 0.330)

=====

(6)
## BaY3Ir (GGA-PBE)

Data for BaY3Ir after structural relaxation.

crystal system: cubic
energy relative to the lowest polymorph listed for this composition: 1.9852 eV/atom
ΔE_f: 1.63 eV per atom

Unit cell a=5.433 b=5.433 c=5.433 alpha=90.00 beta=90.00 gamma=90.00
Fractional positions:
Y (0.000, 0.500, 0.000)
Y (0.500, 0.000, 0.000)
Y (0.000, 0.000, 0.500)
Ir (0.500, 0.500, 0.500)
Ba (0.000, 0.000, 0.000)

=====

(7)
## BaY3Ir (GGA-PBE)

Data for BaY3Ir after structural relaxation.

crystal system: trigonal
energy relative to the lowest polymorph listed for this composition: 1.0076 eV/atom
ΔE_f: 0.65 eV per atom

Unit cell a=7.815 b=7.815 c=7.815 alpha=45.17 beta=45.17 gamma=45.17
Fractional positions:
Y (0.775, 0.275, 0.775)
Y (0.775, 0.775, 0.275)
Y (0.275, 0.775, 0.775)
Ir (0.275, 0.275, 0.275)
Ba (0.775, 0.775, 0.775)

=====

(8)
## Ba4YIr (GGA-PBE)

Data for Ba4YIr after structural relaxation.

crystal system: cubic
ΔE_f: 0.97 eV per atom

Unit cell a=6.984 b=6.984 c=6.984 alpha=60.00 beta=60.00 gamma=60.00
Site moments in Bohr magnetons follow the coordinates.
Fractional positions:
Ba (0.376, 0.376, 0.871)  0.14
Ba (0.376, 0.871, 0.376)  0.14
Ba (0.376, 0.376, 0.376)  0.14
Ba (0.871, 0.376, 0.376)  0.14
Ir (0.750, 0.750, 0.750)  0.23
Y (0.000, 0.000, 0.000)  0.41

=====

(9)
## BaY2Ir (GGA-PBE)

Data for BaY2Ir after structural relaxation.

crystal system: monoclinic
energy relative to the lowest polymorph listed for this composition: 0.1836 eV/atom
ΔE_f: -0.20 eV per atom

Unit cell a=6.517 b=6.517 c=6.739 alpha=59.47 beta=59.47 gamma=34.57
Fractional positions:
Y (0.082, 0.082, 0.871)
Y (0.266, 0.266, 0.171)
Ba (0.443, 0.443, 0.502)
Ir (0.709, 0.709, 0.956)

=====

(10)
## BaY2Ir (GGA-PBE)

Data for BaY2Ir after structural relaxation.

crystal system: tetragonal
energy relative to the lowest polymorph listed for this composition: 0.6041 eV/atom
ΔE_f: 0.22 eV per atom

Unit cell a=6.266 b=6.266 c=6.266 alpha=138.30 beta=138.30 gamma=60.44
Fractional positions:
Y (0.250, 0.750, 0.500)
Y (0.000, 0.000, 0.000)
Ba (0.500, 0.500, 0.000)
Ir (0.750, 0.250, 0.500)

=====

(11)
## Ba2YIr (GGA-PBE)

Data for Ba2YIr after structural relaxation.

crystal system: orthorhombic
energy relative to the lowest polymorph listed for this composition: 0.0857 eV/atom
ΔE_f: -0.16 eV per atom

Unit cell a=9.795 b=9.795 c=4.507 alpha=76.72 beta=76.72 gamma=21.61
Fractional positions:
Y (0.250, 0.250, 0.250)
Ir (0.750, 0.750, 0.750)
Ba (0.100, 0.100, 0.900)
Ba (0.400, 0.400, 0.600)

=====

(12)
## BaY3Ir (GGA-PBE)

Data for BaY3Ir after structural relaxation.

crystal system: orthorhombic
energy relative to the lowest polymorph listed for this composition: 0.0881 eV/atom
ΔE_f: -0.27 eV per atom

Unit cell a=6.265 b=16.228 c=6.788 alpha=90.00 beta=90.00 gamma=90.00
Fractional positions:
Y (0.501, 0.137, 0.455)
Y (0.001, 0.250, 0.587)
Y (0.499, 0.750, 0.087)
Y (0.501, 0.363, 0.455)
Y (0.999, 0.863, 0.955)
Y (0.001, 0.363, 0.045)
Y (0.501, 0.250, 0.913)
Y (0.999, 0.637, 0.955)
Y (0.499, 0.863, 0.545)
Y (0.999, 0.750, 0.413)
Y (0.499, 0.637, 0.545)
Y (0.001, 0.137, 0.045)
Ir (0.249, 0.750, 0.750)
Ir (0.751, 0.250, 0.250)
Ir (0.749, 0.750, 0.750)
Ir (0.251, 0.250, 0.250)
Ba (0.000, 0.000, 0.500)
Ba (0.500, 0.000, 0.000)
Ba (0.500, 0.500, 0.000)
Ba (0.000, 0.500, 0.500)

=====

(13)
## Ba2YIr (GGA-PBE)

Data for Ba2YIr after structural relaxation.

crystal system: trigonal
energy relative to the lowest polymorph listed for this composition: 0.5664 eV/atom
ΔE_f: 0.32 eV per atom

Unit cell a=10.945 b=10.945 c=10.945 alpha=22.09 beta=22.09 gamma=22.09
Site moments in Bohr magnetons follow the coordinates.
Fractional positions:
Ir (0.750, 0.750, 0.750)  0.07
Ba (0.473, 0.473, 0.473)  0.01
Ba (0.027, 0.027, 0.027)  0.01
Y (0.250, 0.250, 0.250)  0.38